Entry from the Alexandria database: crystalline Fe6OF11 at its relaxed geometry (PBE+U).

Geometry as extended XYZ:
```
18
Lattice="9.7864 0.0000 0.0000 0.0000 3.4358 3.3829 0.0000 -3.4358 3.3829" Properties=species:S:1:pos:R:3 pbc="T T T"
Fe 0.0000 0.0000 0.0000
Fe 1.4967 0.0000 3.5917
Fe 3.2654 0.0000 0.1792
Fe 4.8932 0.0000 3.5500
Fe 6.5210 0.0000 0.1792
Fe 8.2896 0.0000 3.5917
O 0.0000 0.0000 4.8242
F 0.0000 0.0000 2.0631
F 1.7021 -2.0020 3.5219
F 1.7021 2.0020 3.5219
F 3.2076 0.0000 2.2303
F 3.2068 0.0000 4.8822
F 4.8932 -2.0526 3.5540
F 4.8932 2.0526 3.5540
F 6.5788 0.0000 2.2303
F 6.5796 0.0000 4.8822
F 8.0843 -2.0020 3.5219
F 8.0843 2.0020 3.5219
```

Computed properties:
Raw total energy (eV/atom): -5.598
M_tot (μB per formula unit): 25.000
SG: Amm2 (38)

Entry from the Alexandria database: crystalline Fe4O3F5 at its relaxed geometry (PBE+U).

Geometry as extended XYZ:
```
12
Lattice="6.1938 0.0000 0.0000 0.0000 3.5076 3.2627 0.0000 -3.5076 3.2627" Properties=species:S:1:pos:R:3 pbc="T T T"
Fe 0.0000 0.0000 0.0000
Fe 1.4736 0.0000 3.2702
Fe 3.0969 0.0000 6.2928
Fe 4.7202 0.0000 3.2702
O 0.0000 0.0000 1.9297
O 0.0000 0.0000 4.5615
O 3.0969 0.0000 4.3242
F 1.4839 -2.1038 3.2073
F 1.4839 2.1038 3.2073
F 3.0969 0.0000 1.8224
F 4.7099 -2.1038 3.2073
F 4.7099 2.1038 3.2073
```

Computed properties:
Raw total energy (eV/atom): -5.885
M_tot (μB per formula unit): 19.015
SG: Amm2 (38)